Ba2BeRe | SCAN | single point on PBEsol structure

```
Ba2BeRe
1.0
3.4958 0.0000 0.0000
1.7479 3.0275 0.0000
1.7479 1.0092 9.9742
Ba Re Be
2 1 1
Cartesian
1.7479 1.0092 2.3592
5.2437 3.0275 7.6150
0.0000 0.0000 0.0000
3.4958 2.0183 4.9871
```

Values from the calculation:
The total magnetization comes out at 0.11 μB/cell. Its energy of formation is 1.556 eV per atom. The value obtained for the final energy is -37.082 eV per atom. The space group is R-3m (166).

BaBe3Re | SCAN | single point on PBEsol structure

```
BaBe3Re
1.0
-4.5755 0.3289 -0.1606
-0.3554 -3.5096 2.9368
0.0876 2.9399 3.5239
Be Ba Re
3 1 1
Cartesian
-0.1777 -1.7548 1.4684
-2.2877 0.1644 -0.0803
0.0438 1.4700 1.7620
0.0000 0.0000 0.0000
-2.4216 -0.1204 3.1501
```

Values from the calculation:
The total magnetization comes out at 3.18 μB/cell. Its energy of formation is 3.068 eV per atom. The value obtained for the final energy is -21.673 eV per atom. The space group is Pm-3m (221).

Ba2BeRe | SCAN | single point on PBEsol structure

```
Ba2BeRe
1.0
-3.1701 -1.4676 -0.3616
1.6609 -4.3401 3.0539
-1.7230 2.5856 4.6116
Ba Re Be
2 1 1
Cartesian
-0.8615 1.2928 2.3058
0.8305 -2.1700 1.5270
-1.5851 -0.7338 -0.1808
-1.6161 -1.6110 3.6520
```

Values from the calculation:
The total magnetization comes out at 1.93 μB/cell. Its energy of formation is 1.285 eV per atom. The value obtained for the final energy is -37.353 eV per atom. The space group is P4/mmm (123).

Ba3BeRh | SCAN | single point on PBEsol structure

```
Ba3BeRh
1.0
-4.2265 3.6802 -0.9824
-3.7859 -4.2204 0.4774
-0.4199 1.0084 5.5839
Ba Rh Be
3 1 1
Cartesian
-2.1133 1.8401 -0.4912
-0.2100 0.5042 2.7919
-1.8929 -2.1102 0.2387
-4.2162 0.2341 2.5394
0.0000 0.0000 0.0000
```

Values from the calculation:
The total magnetization comes out at 0.00 μB/cell. Its energy of formation is 0.789 eV per atom. The value obtained for the final energy is -30.566 eV per atom. The space group is Pm-3m (221).

Ba2BeRu | SCAN | single point on PBEsol structure

```
Ba2BeRu
1.0
3.3647 0.0000 0.0000
0.0000 3.3647 0.0000
0.0000 0.0000 9.1446
Be Ru Ba
1 1 2
Cartesian
0.0000 0.0000 5.4845
1.6823 1.6823 5.8783
1.6823 1.6823 3.1550
0.0000 0.0000 8.3439
```

Values from the calculation:
The total magnetization comes out at 0.00 μB/cell. Its energy of formation is 0.273 eV per atom. The value obtained for the final energy is -29.297 eV per atom. The space group is P4mm (99).

Ba2ScBeRu | SCAN | single point on PBEsol structure

```
Ba2ScBeRu
1.0
4.9857 0.0000 0.0000
0.0000 5.4878 0.0000
0.0000 0.0000 5.4878
Ba Be Sc Ru
2 1 1 1
Cartesian
0.0000 0.0000 2.7439
0.0000 2.7439 0.0000
0.0000 0.0000 0.0000
2.4928 0.0000 0.0000
2.4928 2.7439 2.7439
```

Values from the calculation:
The total magnetization comes out at 0.99 μB/cell. Its energy of formation is 1.114 eV per atom. The value obtained for the final energy is -25.390 eV per atom. The space group is P4/mmm (123).

Ba2BeS2 | SCAN | single point on PBEsol structure

```
Ba2BeS2
1.0
-3.5696 -1.9744 -0.0961
2.1417 -4.1953 6.6435
-3.3135 5.7614 4.7064
Ba S Be
4 4 2
Cartesian
-3.1922 1.1521 8.2767
-1.1204 -2.5416 7.2109
-1.5492 -1.5604 2.9771
-3.6209 2.1332 4.0429
0.8884 -1.8538 5.0888
-2.0602 3.4199 6.2611
-0.3644 0.2355 8.6951
-0.8074 1.3305 2.6548
0.0000 0.0000 0.0000
-0.5859 0.7830 5.6750
```

Values from the calculation:
The total magnetization comes out at 0.00 μB/cell. The uncorrected formation energy is -1138 meV per atom. The value obtained for the final energy is -21.680 eV per atom. The space group is P4/mbm (127).

BaBeS3 | SCAN | single point on PBEsol structure

```
BaBeS3
1.0
-4.2651 -1.1776 1.1792
0.7559 -4.2547 -1.5146
1.4852 -1.2161 4.1573
S Be Ba
3 1 1
Cartesian
0.3780 -2.1274 -0.7573
0.7426 -0.6080 2.0787
-2.1325 -0.5888 0.5896
0.0000 0.0000 0.0000
-1.0120 -3.3242 1.9110
```

Values from the calculation:
The total magnetization comes out at 0.00 μB/cell. The uncorrected formation energy is -914 meV per atom. The value obtained for the final energy is -15.471 eV per atom. The space group is Pm-3m (221).

Ba2BeSb | SCAN | single point on PBEsol structure

```
Ba2BeSb
1.0
6.1569 0.0000 0.0000
0.0000 6.1569 0.0000
-3.0784 -3.0784 9.7724
Sb Ba Be
2 4 2
Cartesian
0.0000 3.0784 4.8862
0.0000 0.0000 0.0000
1.5392 1.4518 7.3293
4.5302 1.5392 2.4431
1.6267 4.6177 2.4431
-1.5392 -1.4518 7.3293
3.0784 3.0784 0.0000
3.0784 0.0000 4.8862
```

Values from the calculation:
The total magnetization comes out at 2.01 μB/cell. For the offset from the most stable computed form, the calculation gives 579 meV per atom. The uncorrected formation energy is 213 meV per atom. The value obtained for the final energy is -29.965 eV per atom. The space group is I-42d (122).

BaBeSb2 | SCAN | single point on PBEsol structure

```
BaBeSb2
1.0
-3.0286 -3.5972 0.2514
3.0625 -2.3926 2.6594
-1.9426 1.9121 3.9573
Sb Be Ba
2 1 1
Cartesian
1.5313 -1.1963 1.3297
-1.5143 -1.7986 0.1257
-0.9713 0.9560 1.9787
-0.9543 -2.0389 3.4340
```

Values from the calculation:
The total magnetization comes out at 0.01 μB/cell. The uncorrected formation energy is 58 meV per atom. The value obtained for the final energy is -29.548 eV per atom. The space group is P4/mmm (123).

Ba2BeSb | SCAN | single point on PBEsol structure

```
Ba2BeSb
1.0
4.1019 0.0000 0.0000
0.0000 5.3641 0.0000
-2.0510 -2.6820 5.5276
Sb Be Ba
1 1 2
Cartesian
0.0000 0.0000 2.0696
2.0510 0.0000 0.6466
2.0510 0.0000 5.2580
2.0510 2.6820 3.0810
```

Values from the calculation:
The total magnetization comes out at 0.78 μB/cell. For the offset from the most stable computed form, the calculation gives 0 meV per atom. The uncorrected formation energy is -366 meV per atom. The value obtained for the final energy is -30.545 eV per atom. The space group is Imm2 (44).

BaBeSb2 | SCAN | single point on PBEsol structure

```
BaBeSb2
1.0
-0.1237 -0.3770 4.0542
2.4503 -4.4508 -0.3392
3.6900 5.0558 -1.4638
Sb Be Ba
2 1 1
Cartesian
2.5316 1.2232 2.2375
5.1293 -0.2550 2.1792
3.9856 -0.7227 0.0543
1.5501 -2.2033 1.8889
```

Values from the calculation:
The total magnetization comes out at 0.44 μB/cell. The uncorrected formation energy is -83 meV per atom. The value obtained for the final energy is -29.689 eV per atom. The space group is Imm2 (44).

Ba2BeSb | SCAN | single point on PBEsol structure

```
Ba2BeSb
1.0
-2.8353 -0.1294 -2.7576
3.3660 -1.6246 -1.3001
-2.9382 -8.8374 3.4356
Sb Ba Be
1 2 1
Cartesian
-0.6810 -3.7234 -0.9223
-1.7043 -6.8012 0.2743
-0.2215 -0.6661 0.2590
-1.2698 -3.8192 1.4848
```

Values from the calculation:
The total magnetization comes out at 0.27 μB/cell. For the offset from the most stable computed form, the calculation gives 378 meV per atom. The uncorrected formation energy is 12 meV per atom. The value obtained for the final energy is -30.167 eV per atom. The space group is Cmm2 (35).

BaBeSb2 | SCAN | single point on PBEsol structure

```
BaBeSb2
1.0
4.5601 0.0000 0.0000
0.0000 4.5601 0.0000
-2.2800 -2.2800 5.1974
Ba Sb Be
1 2 1
Cartesian
2.2800 2.2800 0.0000
0.0000 2.2800 2.5987
2.2800 0.0000 2.5987
0.0000 0.0000 0.0000
```

Values from the calculation:
The total magnetization comes out at 0.00 μB/cell. The uncorrected formation energy is 81 meV per atom. The value obtained for the final energy is -29.525 eV per atom. The space group is I4/mmm (139).

BaBe4Sb | SCAN | single point on PBEsol structure

```
BaBe4Sb
1.0
5.2732 0.0000 0.0000
2.6366 4.5667 0.0000
2.6366 1.5222 4.3056
Sb Be Ba
1 4 1
Cartesian
7.9098 4.5667 3.2292
6.5440 2.3108 1.6340
5.2732 4.5119 1.6340
5.2732 3.0445 3.7092
4.0024 2.3108 1.6340
0.0000 0.0000 0.0000
```

Values from the calculation:
The total magnetization comes out at 0.00 μB/cell. The uncorrected formation energy is 709 meV per atom. The value obtained for the final energy is -14.995 eV per atom. The space group is F-43m (216).

BaScBe4 | SCAN | single point on PBEsol structure

```
BaScBe4
1.0
5.0770 0.0000 0.0000
2.5385 4.3968 0.0000
2.5385 1.4656 4.1454
Be Ba Sc
4 1 1
Cartesian
5.0770 4.2969 1.5898
3.8943 2.2484 1.5898
5.0770 2.9312 3.5212
6.2597 2.2484 1.5898
0.0000 0.0000 0.0000
7.6155 4.3968 3.1090
```

Values from the calculation:
The total magnetization comes out at 0.00 μB/cell. Its energy of formation is 0.450 eV per atom. The value obtained for the final energy is -11.417 eV per atom. The space group is F-43m (216).

Ba2ScBe | SCAN | single point on PBEsol structure

```
Ba2ScBe
1.0
-2.0212 -2.4538 2.0546
1.5767 -1.7252 2.9774
-3.3975 6.6043 8.0320
Sc Ba Be
1 2 1
Cartesian
0.0000 0.0000 0.0000
-1.0615 0.8549 3.4635
-2.7805 1.5704 9.6004
-1.9210 1.2127 6.5320
```

Values from the calculation:
The total magnetization comes out at 0.54 μB/cell. Its energy of formation is 0.701 eV per atom. The value obtained for the final energy is -23.721 eV per atom. The space group is R-3m (166).

BaBeSe3 | SCAN | single point on PBEsol structure

```
BaBeSe3
1.0
6.0990 0.0000 0.0000
0.0000 6.0990 0.0000
0.0000 0.0000 6.0990
Se Be Ba
3 1 1
Cartesian
0.0000 3.0495 0.0000
0.0000 0.0000 3.0495
3.0495 0.0000 0.0000
3.0495 3.0495 3.0495
0.0000 0.0000 0.0000
```

Values from the calculation:
The total magnetization comes out at 4.00 μB/cell. The uncorrected formation energy is 752 meV per atom. The value obtained for the final energy is -20.075 eV per atom. The space group is Pm-3m (221).

Ba2BeSe | SCAN | single point on PBEsol structure

```
Ba2BeSe
1.0
-2.5312 6.8338 -0.7305
-2.4126 -2.9131 6.2717
2.3762 4.1620 5.5383
Se Ba Be
2 4 2
Cartesian
0.0000 0.0000 0.0000
-1.2747 3.7291 2.5873
-3.1153 1.4164 5.8548
-0.6495 4.8974 5.4081
-1.9245 8.6355 8.0806
0.5541 1.2159 2.8156
-0.0182 0.6244 5.9050
-1.2929 4.3535 8.4922
```

Values from the calculation:
The total magnetization comes out at 0.00 μB/cell. The uncorrected formation energy is -468 meV per atom. The value obtained for the final energy is -26.351 eV per atom. The space group is I-42d (122).

BaBe2Se | SCAN | single point on PBEsol structure

```
BaBe2Se
1.0
-0.0132 0.7819 -3.6963
-3.9424 0.1884 1.9848
2.1869 5.5337 1.1628
Be Ba Se
2 1 1
Cartesian
-3.3824 1.9269 -1.5112
-1.1550 1.3966 -1.6313
-0.6682 4.6374 0.9833
0.5681 2.6712 -1.3678
```

Values from the calculation:
The total magnetization comes out at 0.00 μB/cell. The uncorrected formation energy is -279 meV per atom. The value obtained for the final energy is -17.363 eV per atom. The space group is Cm (8).

BaBeSi2 | SCAN | single point on PBEsol structure

```
BaBeSi2
1.0
3.8472 0.0000 0.0000
-1.9236 3.6254 -0.0234
0.0000 -2.0128 6.0040
Ba Be Si
1 1 2
Cartesian
1.9236 -0.8870 3.1420
0.0000 0.1939 5.6276
1.9236 1.4124 0.7111
1.9236 1.4995 5.4825
```

Values from the calculation:
The total magnetization comes out at 0.00 μB/cell. The uncorrected formation energy is 14 meV per atom. The value obtained for the final energy is -15.969 eV per atom. The space group is Cm (8).

BaBeSi2 | SCAN | single point on PBEsol structure

```
BaBeSi2
1.0
4.3202 0.0000 0.0000
0.0000 4.3202 0.0000
0.0000 0.0000 4.5150
Ba Be Si
1 1 2
Cartesian
2.1601 2.1601 2.2575
0.0000 0.0000 2.2575
0.0000 2.1601 0.0000
2.1601 0.0000 0.0000
```

Values from the calculation:
The total magnetization comes out at 0.00 μB/cell. The uncorrected formation energy is 760 meV per atom. The value obtained for the final energy is -15.223 eV per atom. The space group is P4/mmm (123).

BaBeSi2 | SCAN | single point on PBEsol structure

```
BaBeSi2
1.0
-2.2999 -1.4568 1.4959
0.6692 -2.9675 -1.8691
4.4948 -2.0697 4.8951
Be Ba Si
1 1 2
Cartesian
-0.8154 -2.2121 -0.1866
1.4320 -3.2470 2.2609
0.7407 -0.3411 0.8066
3.7541 -1.7287 4.0885
```

Values from the calculation:
The total magnetization comes out at 0.00 μB/cell. The uncorrected formation energy is 235 meV per atom. The value obtained for the final energy is -15.749 eV per atom. The space group is Pmmm (47).

BaBeSi2 | SCAN | single point on PBEsol structure

```
BaBeSi2
1.0
-1.0349 2.6482 0.8616
1.3583 -1.1946 5.3032
3.9320 2.5388 -3.0805
Si Ba Be
2 1 1
Cartesian
0.6792 -0.5973 2.6516
1.9660 1.2694 -1.5403
-0.5174 1.3241 0.4308
2.1277 1.9962 1.5421
```

Values from the calculation:
The total magnetization comes out at 0.00 μB/cell. The uncorrected formation energy is 892 meV per atom. The value obtained for the final energy is -15.092 eV per atom. The space group is Cmmm (65).

Ba2Be2Sn | SCAN | single point on PBEsol structure

```
Ba2Be2Sn
1.0
5.6813 -0.0081 0.0135
-2.0672 5.2919 -0.0135
2.0672 2.4639 4.6833
Be Sn Ba
2 1 2
Cartesian
-0.6066 4.2928 1.6458
0.6066 3.4630 3.0240
0.0000 0.0000 0.0000
2.8407 1.9349 1.1742
2.8407 5.8128 3.5091
```

Values from the calculation:
The total magnetization comes out at 0.00 μB/cell. Its energy of formation is 0.114 eV per atom. The value obtained for the final energy is -24.632 eV per atom. The space group is I4/mmm (139).

BaSrBe2 | SCAN | single point on PBEsol structure

```
BaSrBe2
1.0
3.8347 0.0000 0.0000
0.0000 3.8347 0.0000
0.0000 0.0000 7.4142
Be Ba Sr
2 1 1
Cartesian
0.0000 0.0000 1.5097
0.0000 0.0000 5.9045
1.9174 1.9174 3.7071
1.9174 1.9174 0.0000
```

Values from the calculation:
The total magnetization comes out at 0.00 μB/cell. Its energy of formation is 0.565 eV per atom. The value obtained for the final energy is -17.068 eV per atom. The space group is P4/mmm (123).

Ba2TaBe | SCAN | single point on PBEsol structure

```
Ba2TaBe
1.0
-1.1309 3.0796 0.7488
-4.8797 -2.1893 1.6342
5.0931 -1.0102 4.2855
Be Ba Ta
1 2 1
Cartesian
-2.8379 0.3998 1.6307
-0.9723 -0.1050 6.5247
0.6226 1.2183 3.4913
-1.6528 -1.3077 2.8818
```

Values from the calculation:
The total magnetization comes out at 0.00 μB/cell. Its energy of formation is 0.871 eV per atom. The value obtained for the final energy is -36.638 eV per atom. The space group is Imm2 (44).

Ba2TaBe | SCAN | single point on PBEsol structure

```
Ba2TaBe
1.0
-0.7591 2.3080 -2.1841
-2.8634 0.4768 1.4990
4.1832 6.8700 5.8060
Ba Ta Be
2 1 1
Cartesian
0.9679 1.5895 1.3433
3.2154 5.2806 4.4627
0.2804 4.8274 2.5604
-1.8113 1.3924 -0.3426
```

Values from the calculation:
The total magnetization comes out at 0.00 μB/cell. Its energy of formation is 1.195 eV per atom. The value obtained for the final energy is -36.314 eV per atom. The space group is P4/mmm (123).

BaBe2Tc | SCAN | single point on PBEsol structure

```
BaBe2Tc
1.0
4.4512 0.0000 0.0000
0.0000 4.4512 0.0000
-2.2256 -2.2256 8.0488
Be Tc Ba
4 2 2
Cartesian
-1.1128 0.0000 6.0366
1.1128 0.0000 6.0366
2.2256 1.1128 2.0122
2.2256 3.3384 2.0122
2.2256 2.2256 0.0000
2.2256 0.0000 4.0244
0.0000 2.2256 4.0244
0.0000 0.0000 0.0000
```

Values from the calculation:
The total magnetization comes out at 0.00 μB/cell. Its energy of formation is 0.723 eV per atom. The value obtained for the final energy is -20.106 eV per atom. The space group is I4_1/amd (141).